NdSiHRu (PBE, optimized geometry); energy = -6.467 eV/atom; total moment = 0.00 μB/f.u.; ρ = 7.035 g cm⁻³
1.0
-1.725 -3.513 1.429
1.745 -2.129 -3.127
6.032 -1.247 4.215
Nd H Ru Si
2 2 2 2
Direct
0.000 0.500 0.335
0.500 0.000 0.665
0.000 0.000 0.500
0.500 0.500 0.500
0.500 0.500 0.000
0.000 0.000 0.000
0.000 0.500 0.846
0.500 0.000 0.154